No. 1
A plane-wave DFT calculation with GGA-PBE was carried out for a geometry-optimized K2ZnSi structure.

Structure (POSCAR):
```
K2ZnSi
1.0
6.1808 -0.0252 -0.0864
2.5536 5.6287 0.0864
-4.3152 -2.8828 3.3584
K Si Zn
2 1 1
direct
0.5000 0.5000 0.0000
0.0000 0.0000 0.0000
0.7500 0.2500 0.5000
0.2500 0.7500 0.5000
```

Results
**Electronic total energy**: -7.14 eV/cell
**N(E_F)**: 2.167 states/eV/cell

=====

No. 2
A plane-wave DFT calculation with GGA-PBE was carried out for a geometry-optimized Cs3LaSc2Se6 structure.

Structure (POSCAR):
```
Cs3LaSc2Se6
1.0
-2.9505 0.0496 6.6794
-1.6310 -5.3704 -4.6713
7.9597 -2.6736 2.2019
Se La Cs Sc
6 1 3 2
direct
0.0606 0.4174 0.1815
0.7033 0.7033 0.1796
0.9394 0.5826 0.8185
0.5826 0.9394 0.8185
0.4174 0.0606 0.1815
0.2967 0.2967 0.8204
0.0000 0.0000 0.0000
0.1624 0.8376 0.5000
0.5000 0.5000 0.5000
0.8376 0.1624 0.5000
0.3330 0.6670 0.0000
0.6670 0.3330 0.0000
```

Results
**Electronic total energy**: -60.66 eV/cell
**N(E_F)**: 0.000 states/eV/cell

=====

No. 3
A plane-wave DFT calculation with GGA-PBE was carried out for a geometry-optimized LiPrPd2 structure.

Structure (POSCAR):
```
LiPrPd2
1.0
-1.8617 3.9275 0.2544
-0.7822 1.7905 3.8908
3.5559 4.0143 1.3036
Pd Li Pr
2 1 1
direct
0.7859 0.7859 0.6422
0.2141 0.2141 0.3578
0.5000 0.5000 0.5000
0.0000 0.0000 0.0000
```

Results
**ΔH_f (0 K)**: -2.44 eV per formula unit
**N(E_F)**: 1.763 states/eV/cell

=====

No. 4
A plane-wave DFT calculation with GGA-PBE was carried out for a geometry-optimized CaNdY2 structure.

Structure (POSCAR):
```
CaNdY2
1.0
-1.2133 3.0831 -4.7768
3.3640 -0.5001 -4.7148
-2.0280 -2.6728 -4.7475
Nd Y Ca
1 2 1
direct
0.0000 0.0000 0.0000
0.2500 0.2500 0.2500
0.7500 0.7500 0.7500
0.5000 0.5000 0.5000
```

Results
**Energy above the most stable polymorph in this dataset**: 0.100 eV per atom
**ΔH_f (0 K)**: 0.62 eV per formula unit
**N(E_F)**: 7.860 states/eV/cell